Entry 1:
This record from Alexandria describes a PBEsol-optimized structure of SrYOsPt2. The functional is SCAN.

Cell: 4.8698 4.8698 5.0879 Å, 90.00 90.00 90.00°
With the nearest neighbours (Å) after each atom.
Space group P4/mmm (No. 123)
Asymmetric unit:
Sr 0.0000 0.0000 0.0000  4 Pt 2.43, 2 Y 2.54
Y 0.0000 0.0000 0.5000  2 Sr 2.54
Os 0.5000 0.5000 0.5000  4 Y 3.44, 8 Pt 3.52
Pt 0.0000 0.5000 0.0000  2 Sr 2.43

Computed properties:
The calculation puts the formation energy at 2.16 eV/atom. As for the crystal system: tetragonal. As for the volume: 120.7 Å³/cell. The final energy comes out at -50.314 eV/atom.

***

Entry 2:
This record from Alexandria describes a PBEsol-optimized structure of TaOsPt2. The functional is SCAN.

Cell: 3.8578 3.8578 4.0385 Å, 90.00 90.00 90.00°
With the nearest neighbours (Å) after each atom.
Space group P4/mmm (No. 123)
Asymmetric unit:
Ta 0.0000 0.0000 0.0000  4 Os 2.73, 8 Pt 2.79
Os 0.5000 0.5000 0.0000  4 Ta 2.73, 8 Pt 2.79
Pt 0.0000 0.5000 0.5000  4 Pt 2.73, 4 Ta 2.79, 4 Os 2.79

Computed properties:
The calculation puts the formation energy at -0.60 eV/atom. As for the crystal system: tetragonal. As for the volume: 60.1 Å³/cell. The polymorph energy (0 for the lowest one) comes out at 0.000 eV per formula unit. The final energy comes out at -70.310 eV/atom.

***

Entry 3:
This record from Alexandria describes a PBEsol-optimized structure of TaOsPt2. The functional is SCAN.

Cell: 2.7733 2.7733 27.3563 Å, 90.00 90.00 120.00°
With the nearest neighbours (Å) after each atom.
Space group R-3m (No. 166, hexagonal axes)
Asymmetric unit:
Ta 0.0000 0.0000 0.0000  6 Ta 2.77, 6 Pt 2.81
Os 0.0000 0.0000 0.5000  6 Pt 2.76, 6 Os 2.77
Pt 0.0000 0.0000 0.2487  3 Os 2.76, 6 Pt 2.77, 3 Ta 2.81

Computed properties:
The calculation puts the formation energy at -0.11 eV/atom. As for the crystal system: trigonal. As for the volume: 182.2 Å³/cell. The polymorph energy (0 for the lowest one) comes out at 1.968 eV per formula unit. The final energy comes out at -69.818 eV/atom.

***

Entry 4:
This record from Alexandria describes a PBEsol-optimized structure of TaTi2OsPt. The functional is SCAN.

Cell: 4.5534 4.5534 4.6633 Å, 90.00 90.00 90.00°
With the nearest neighbours (Å) after each atom.
Space group P4/mmm (No. 123)
Asymmetric unit:
Ta 0.0000 0.0000 0.0000  4 Ti 2.28, 2 Pt 2.33
Ti 0.0000 0.5000 0.0000  2 Ta 2.28
Os 0.5000 0.5000 0.5000  4 Pt 3.22, 8 Ti 3.26
Pt 0.0000 0.0000 0.5000  2 Ta 2.33

Computed properties:
The calculation puts the formation energy at 1.50 eV/atom. As for the crystal system: tetragonal. As for the volume: 96.7 Å³/cell. The final energy comes out at -46.639 eV/atom.

***

Entry 5:
This record from Alexandria describes a PBEsol-optimized structure of TcOsPt2. The functional is SCAN.

Cell: 2.7140 3.8503 5.5077 Å, 90.00 90.00 90.00°
With the nearest neighbours (Å) after each atom.
Space group Pmm2 (No. 25)
Asymmetric unit:
Tc 0.0000 0.0000 0.0000  6 Pt 2.66-2.85, 4 Os 2.66, 2 Tc 2.71
Os 0.5000 0.5000 0.2259  6 Pt 2.66-2.85, 4 Tc 2.66, 2 Os 2.71
Pt 0.0000 0.0000 0.4829  2 Tc 2.66-2.85, 6 Pt 2.71-2.76, 4 Os 2.75
Pt 0.5000 0.5000 0.7427  2 Os 2.66-2.85, 6 Pt 2.71-2.76, 4 Tc 2.75

Computed properties:
The calculation puts the formation energy at -0.07 eV/atom. As for the crystal system: orthorhombic. As for the volume: 57.6 Å³/cell. The polymorph energy (0 for the lowest one) comes out at 0.133 eV per formula unit. The final energy comes out at -61.900 eV/atom.

***

Entry 6:
This record from Alexandria describes a PBEsol-optimized structure of TcOsPt. The functional is SCAN.

Cell: 2.7249 2.7249 11.5669 Å, 90.00 90.00 90.00°
With the nearest neighbours (Å) after each atom.
Space group I4mm (No. 107)
Asymmetric unit:
Tc 0.0000 0.0000 0.0000  4 Os 2.59, 4 Tc 2.72, 4 Pt 2.78
Os 0.0000 0.0000 0.3502  4 Tc 2.59, 4 Os 2.72, 4 Pt 2.81
Pt 0.0000 0.0000 0.6734  4 Pt 2.72, 4 Tc 2.78, 4 Os 2.81

Computed properties:
The calculation puts the formation energy at -0.09 eV/atom. As for the crystal system: tetragonal. As for the volume: 85.9 Å³/cell. The final energy comes out at -59.132 eV/atom.

***

Entry 7:
This record from Alexandria describes a PBEsol-optimized structure of TcOsPt2. The functional is SCAN.

Cell: 6.1788 6.1788 6.1788 Å, 90.00 90.00 90.00°
With the nearest neighbours (Å) after each atom.
Space group Fm-3m (No. 225)
Asymmetric unit:
Tc 0.0000 0.0000 0.0000  8 Pt 2.68
Os 0.0000 0.0000 0.5000  8 Pt 2.68
Pt 0.2500 0.2500 0.2500  4 Tc 2.68, 4 Os 2.68

Computed properties:
The calculation puts the formation energy at 0.45 eV/atom. As for the crystal system: cubic. As for the volume: 235.9 Å³/cell. The polymorph energy (0 for the lowest one) comes out at 2.224 eV per formula unit. The final energy comes out at -61.377 eV/atom.

***

Entry 8:
This record from Alexandria describes a PBEsol-optimized structure of Tc2OsPt. The functional is SCAN.

Cell: 5.4013 7.7360 2.7002 Å, 90.00 90.00 90.00°
With the nearest neighbours (Å) after each atom.
Space group Cmmm (No. 65)
Asymmetric unit:
Tc 0.2500 0.2500 0.0000  4 Tc 2.70, 4 Os 2.72, 4 Pt 2.72
Os 0.0000 0.0000 0.5000  2 Os 2.70, 2 Pt 2.70, 8 Tc 2.72
Pt 0.0000 0.5000 0.5000  2 Pt 2.70, 2 Os 2.70, 8 Tc 2.72

Computed properties:
The calculation puts the formation energy at -0.09 eV/atom. As for the crystal system: orthorhombic. As for the volume: 112.8 Å³/cell. The polymorph energy (0 for the lowest one) comes out at 0.483 eV per formula unit. The final energy comes out at -53.137 eV/atom.

***

Entry 9:
This record from Alexandria describes a PBEsol-optimized structure of TcOsPt2. The functional is SCAN.

Cell: 2.7200 2.7200 27.0938 Å, 90.00 90.00 120.00°
With the nearest neighbours (Å) after each atom.
Space group R3m (No. 160, hexagonal axes)
Asymmetric unit:
Tc 0.0000 0.0000 0.0000  3 Os 2.61, 6 Tc 2.72, 3 Pt 2.75
Os 0.0000 0.0000 0.2564  3 Tc 2.61, 6 Os 2.72, 3 Pt 2.79
Pt 0.0000 0.0000 0.5046  9 Pt 2.72-2.85, 3 Os 2.79
Pt 0.0000 0.0000 0.7501  9 Pt 2.72-2.85, 3 Tc 2.75

Computed properties:
The calculation puts the formation energy at -0.07 eV/atom. As for the crystal system: trigonal. As for the volume: 173.6 Å³/cell. The polymorph energy (0 for the lowest one) comes out at 0.128 eV per formula unit. The final energy comes out at -61.901 eV/atom.

***

Entry 10:
This record from Alexandria describes a PBEsol-optimized structure of Tc2OsPt. The functional is SCAN.

Cell: 2.7215 4.3440 4.7586 Å, 90.00 90.00 90.00°
With the nearest neighbours (Å) after each atom.
Space group Pmm2 (No. 25)
Asymmetric unit:
Tc 0.0000 0.0000 0.0000  4 Tc 2.66-2.72, 4 Os 2.68, 4 Pt 2.72-2.76
Tc 0.0000 0.5000 0.3229  4 Tc 2.66-2.72, 4 Pt 2.69, 4 Os 2.70-2.78
Os 0.5000 0.5000 0.8326  8 Tc 2.68-2.78, 2 Pt 2.70, 2 Os 2.72
Pt 0.5000 0.0000 0.4950  8 Tc 2.69-2.76, 2 Os 2.70, 2 Pt 2.72

Computed properties:
The calculation puts the formation energy at -0.21 eV/atom. As for the crystal system: orthorhombic. As for the volume: 56.3 Å³/cell. The polymorph energy (0 for the lowest one) comes out at 0.000 eV per formula unit. The final energy comes out at -53.258 eV/atom.

***

Entry 11:
This record from Alexandria describes a PBEsol-optimized structure of TcOsPt2. The functional is SCAN.

Cell: 4.7152 2.7249 4.7375 Å, 90.00 109.33 90.00°
With the nearest neighbours (Å) after each atom.
Space group P2/m (No. 10)
Asymmetric unit:
Tc 0.0000 0.0000 0.0000  4 Os 2.72, 2 Tc 2.72, 6 Pt 2.73
Os 0.5000 0.5000 0.0000  4 Tc 2.72, 2 Os 2.72, 6 Pt 2.73
Pt 0.0000 0.5000 0.5000  6 Pt 2.72, 4 Tc 2.73, 2 Os 2.73
Pt 0.5000 0.0000 0.5000  6 Pt 2.72, 4 Os 2.73, 2 Tc 2.73

Computed properties:
The calculation puts the formation energy at 0.03 eV/atom. As for the crystal system: monoclinic. As for the volume: 57.4 Å³/cell. The polymorph energy (0 for the lowest one) comes out at 0.547 eV per formula unit. The final energy comes out at -61.797 eV/atom.

***

Entry 12:
This record from Alexandria describes a PBEsol-optimized structure of TcOsPt2. The functional is SCAN.

Cell: 2.7213 2.7213 7.8029 Å, 90.00 90.00 90.00°
With the nearest neighbours (Å) after each atom.
Space group P4mm (No. 99)
Asymmetric unit:
Tc 0.0000 0.0000 0.0000  4 Os 2.62, 4 Tc 2.72, 4 Pt 2.74
Os 0.5000 0.5000 0.2285  4 Tc 2.62, 4 Os 2.72, 4 Pt 2.76
Pt 0.0000 0.0000 0.4825  8 Pt 2.72-2.84, 4 Os 2.76
Pt 0.5000 0.5000 0.7502  8 Pt 2.72-2.84, 4 Tc 2.74

Computed properties:
The calculation puts the formation energy at -0.10 eV/atom. As for the crystal system: tetragonal. As for the volume: 57.8 Å³/cell. The polymorph energy (0 for the lowest one) comes out at 0.000 eV per formula unit. The final energy comes out at -61.933 eV/atom.

***

Entry 13:
This record from Alexandria describes a PBEsol-optimized structure of TeOsPt2. The functional is SCAN.

Cell: 3.9620 3.9620 8.3367 Å, 90.00 90.00 90.00°
With the nearest neighbours (Å) after each atom.
Space group I4/mmm (No. 139)
Asymmetric unit:
Te 0.0000 0.0000 0.0000  4 Os 2.80, 8 Pt 2.88
Os 0.0000 0.0000 0.5000  4 Te 2.80, 8 Pt 2.88
Pt 0.0000 0.5000 0.2500  4 Pt 2.80, 4 Os 2.88, 4 Te 2.88

Computed properties:
As for the crystal system: tetragonal. As for the volume: 130.9 Å³/cell. For the uncorrected formation energy, the calculation gives 0.611 eV/atom. The final energy comes out at -61.769 eV/atom.

***

Entry 14:
This record from Alexandria describes a PBEsol-optimized structure of Te2OsPt. The functional is SCAN.

Cell: 6.7302 6.7302 6.7302 Å, 90.00 90.00 90.00°
With the nearest neighbours (Å) after each atom.
Space group F-43m (No. 216)
Asymmetric unit:
Te 0.0000 0.0000 0.0000  4 Os 2.91, 4 Te 2.91
Te 0.2500 0.2500 0.2500  4 Te 2.91, 4 Pt 2.91
Os 0.2500 0.2500 0.7500  4 Te 2.91, 4 Pt 2.91
Pt 0.0000 0.0000 0.5000  4 Os 2.91, 4 Te 2.91

Computed properties:
As for the crystal system: cubic. As for the volume: 304.9 Å³/cell. The polymorph energy (0 for the lowest one) comes out at 3.605 eV per formula unit. For the uncorrected formation energy, the calculation gives 1.056 eV/atom. The final energy comes out at -53.087 eV/atom.

***

Entry 15:
This record from Alexandria describes a PBEsol-optimized structure of Te2OsPt. The functional is SCAN.

Cell: 3.1716 3.1716 8.0594 Å, 90.00 90.00 90.00°
With the nearest neighbours (Å) after each atom.
Space group P4mm (No. 99)
Asymmetric unit:
Te 0.0000 0.0000 0.0000  4 Pt 2.77
Te 0.5000 0.5000 0.3847  4 Os 2.69
Os 0.0000 0.0000 0.5681  4 Te 2.69, 4 Pt 2.91
Pt 0.5000 0.5000 0.7973  4 Te 2.77, 4 Os 2.91

Computed properties:
As for the crystal system: tetragonal. As for the volume: 81.1 Å³/cell. The polymorph energy (0 for the lowest one) comes out at 0.941 eV per formula unit. For the uncorrected formation energy, the calculation gives 0.390 eV/atom. The final energy comes out at -53.754 eV/atom.

***

| no. | spin magnetization (μB per formula unit) |
| --- | --- |
| 1 | 1.66 |
| 2 | 0.00 |
| 3 | 0.00 |
| 4 | 0.00 |
| 5 | 0.00 |
| 6 | 0.00 |
| 7 | 0.48 |
| 8 | 0.00 |
| 9 | 0.00 |
| 10 | 0.00 |
| 11 | 0.00 |
| 12 | 0.00 |
| 13 | 1.88 |
| 14 | 0.00 |
| 15 | 0.00 |